A geometry-optimized Cr2CoP structure. Source: Alexandria, functional GGA-PBE.

Summary:
calculated density: 7.0 g cm⁻³
VASP energy: -8.1134 eV per atom
space-group type: No. 47

Cell lengths 3.373, 3.556, 3.819 Å; angles 90.00, 90.00, 90.00 degrees
Sites, in units of the cell vectors:
Co 0.000 0.500 0.500
Cr 0.000 0.000 0.000
Cr 0.500 0.500 0.000
P 0.500 0.000 0.500